(1)
VASP calculation (PBE) on a relaxed La2RuCBr crystal.

Cell lengths 5.389, 5.389, 3.895 Å; angles 90.00, 90.00, 90.00 degrees
Element x y z (fractional)
Ru 0.000 0.000 0.500
C 0.000 0.000 0.000
La 0.500 0.000 0.000
La 0.000 0.500 0.000
Br 0.500 0.500 0.500

Calculated values
Uncorrected energy (eV/atom): -6.57
Energy relative to the elements, uncorrected (kJ per mole of atoms): -55
V (Å³/f.u.): 113.1
Density (g/cm3): 6.91


(2)
VASP calculation (PBE) on a relaxed ScVPt2 crystal.

Cell lengths 4.090, 4.090, 9.080 Å; angles 76.98, 76.98, 90.00 degrees
Element x y z (fractional)
Pt 0.641 0.125 0.250
Pt 0.875 0.891 0.750
Pt 0.375 0.359 0.750
Pt 0.109 0.625 0.250
Sc 0.250 0.750 0.500
Sc 0.500 0.500 0.000
V 0.000 0.000 0.000
V 0.750 0.250 0.500

Calculated values
Uncorrected energy (eV/atom): -7.07
ΔE_f (eV per formula unit): -0.74
V (Å³/f.u.): 72.0
Density (g/cm3): 11.21